1.
Material: PmTh2Ni2
Method: DFT, PBE
State: optimized geometry

Summary:
E_form in eV per atom: -0.29
Space-group type: No. 127

Cell lengths 7.9252, 7.9252, 3.7286 Å; angles 90.00, 90.00, 90.00 degrees
Positions (direct):
Pm1 0.0000 0.0000 0.0000
Pm2 0.5000 0.5000 0.0000
Th1 0.1633 0.3367 0.5000
Th2 0.3367 0.8367 0.5000
Th3 0.6633 0.1633 0.5000
Th4 0.8367 0.6633 0.5000
Ni1 0.1205 0.6205 0.0000
Ni2 0.3795 0.1205 0.0000
Ni3 0.6205 0.8795 0.0000
Ni4 0.8795 0.3795 0.0000

***

2.
Material: K4TmNp3Se8
Method: DFT, PBE
State: optimized geometry

Summary:
Space-group type: No. 166
Formation energy from raw total energies in eV per atom: -1.37

Cell lengths 9.0962, 9.0962, 9.0962 Å; angles 55.70, 55.70, 55.70 degrees
Positions (direct):
K1 0.0000 0.0000 0.0000
K2 0.0000 0.5000 0.5000
K3 0.5000 0.0000 0.5000
K4 0.5000 0.5000 0.0000
Tm1 0.5000 0.5000 0.5000
Np1 0.0000 0.0000 0.5000
Np2 0.0000 0.5000 0.0000
Np3 0.5000 0.0000 0.0000
Se1 0.2348 0.2348 0.2348
Se2 0.2410 0.7320 0.7320
Se3 0.2680 0.2680 0.7590
Se4 0.2680 0.7590 0.2680
Se5 0.7320 0.2410 0.7320
Se6 0.7320 0.7320 0.2410
Se7 0.7590 0.2680 0.2680
Se8 0.7652 0.7652 0.7652

***

3.
Material: Co2SiNi
Method: DFT, PBE
State: optimized geometry

Summary:
Space-group type: No. 123
Formation energy from raw total energies in eV per atom: -0.22

Cell lengths 2.6899, 2.6899, 5.9823 Å; angles 90.00, 90.00, 90.00 degrees
Positions (direct):
Co1 0.0000 0.0000 0.2274
Co2 0.0000 0.0000 0.7726
Si1 0.5000 0.5000 0.0000
Ni1 0.5000 0.5000 0.5000

***

4.
Material: LaY2Re
Method: DFT, PBE
State: optimized geometry

Summary:
E_form in eV per atom: 0.17
Space-group type: No. 123
Energy above the most stable polymorph in this dataset in meV/atom: 0

Cell lengths 3.4518, 3.4518, 9.5497 Å; angles 90.00, 90.00, 90.00 degrees
Positions (direct):
La1 0.0000 0.0000 0.0000
Y1 0.5000 0.5000 0.3241
Y2 0.5000 0.5000 0.6759
Re1 0.0000 0.0000 0.5000

***

5.
Material: AcH5
Method: DFT, PBE
State: optimized geometry

Summary:
Space-group type: No. 65

Cell lengths 4.1068, 7.2174, 4.6194 Å; angles 90.00, 90.00, 90.00 degrees
Positions (direct):
Ac1 0.0000 0.0000 0.0000
Ac2 0.5000 0.5000 0.0000
H1 0.0000 0.3305 0.0000
H2 0.0000 0.3550 0.5000
H3 0.0000 0.5000 0.5000
H4 0.0000 0.6450 0.5000
H5 0.0000 0.6695 0.0000
H6 0.5000 0.0000 0.5000
H7 0.5000 0.1450 0.5000
H8 0.5000 0.1695 0.0000
H9 0.5000 0.8305 0.0000
H10 0.5000 0.8550 0.5000

***

6.
Material: LaCuO3
Method: DFT, PBE
State: optimized geometry

Summary:
Space-group type: No. 38
Formation energy from raw total energies in eV per atom: -1.49

Cell lengths 3.1988, 5.9843, 10.5454 Å; angles 90.00, 90.00, 90.00 degrees
Positions (direct):
La1 0.0000 0.0000 0.0000
La2 0.0000 0.5000 0.5000
Cu1 0.5000 0.0000 0.6504
Cu2 0.5000 0.5000 0.1504
O1 0.0000 0.1908 0.6360
O2 0.0000 0.3092 0.1360
O3 0.0000 0.6908 0.1360
O4 0.0000 0.8092 0.6360
O5 0.5000 0.0000 0.8662
O6 0.5000 0.5000 0.3662

***

Computed total magnetic moment, in the same sequence as the records: 0.000 0.750 0.524 0.000 0.000 0.000 μB per atom.
Computed total DFT energy (no corrections), in the same sequence as the records: -65.2 -97.6 -26.3 -29.6 -41.6 -62.7 eV/cell.